Material: TaHgTe2
Method: DFT, PBE
State: relaxed

Output
N(E_F) = 0.300 states/eV/atom
Uncorrected formation energy = -4.7 kcal/mol of atoms

a b c (Å): 9.383 6.954 3.525
angles (deg): 90.00 90.00 84.32
Fractional coordinates of all 8 atoms:
Te (0.076, 0.755, 0.637)
Te (0.222, 0.315, 0.137)
Te (0.854, 0.322, 0.637)
Te (0.444, 0.747, 0.137)
Hg (0.746, 0.869, 0.137)
Hg (0.552, 0.201, 0.637)
Ta (0.011, 0.062, 0.137)
Ta (0.287, 0.007, 0.637)



Material: Zr2NbCuH
Method: DFT, PBE
State: relaxed

Output
Offset from the most stable computed form = 0 meV per atom
N(E_F) = 0.553 states/eV/atom

a b c (Å): 4.568 4.568 3.681
angles (deg): 90.00 90.00 90.00
Fractional coordinates of all 5 atoms:
H (0.000, 0.000, 0.000)
Nb (0.500, 0.500, 0.500)
Cu (0.000, 0.000, 0.500)
Zr (0.000, 0.500, 0.000)
Zr (0.500, 0.000, 0.000)



Material: CaLaAgIr
Method: DFT, PBE
State: relaxed

Output
Formation energy from the elements = -0.43 eV per atom
Offset from the most stable computed form = 0 meV per atom
N(E_F) = 0.181 states/eV/atom

a b c (Å): 3.602 3.602 7.548
angles (deg): 90.00 90.00 90.00
Fractional coordinates of all 4 atoms:
Ca (0.500, 0.500, 0.801)
La (0.500, 0.500, 0.361)
Ag (0.000, 0.000, 0.060)
Ir (0.000, 0.000, 0.563)



Material: PmErMg2
Method: DFT, PBE
State: relaxed

Output
Formation energy from the elements = -0.09 eV per atom
Offset from the most stable computed form = 0 meV per atom
N(E_F) = 1.036 states/eV/atom

a b c (Å): 5.390 5.390 5.390
angles (deg): 60.00 60.00 60.00
Fractional coordinates of all 4 atoms:
Mg (0.250, 0.250, 0.250)
Mg (0.750, 0.750, 0.750)
Pm (0.000, 0.000, 0.000)
Er (0.500, 0.500, 0.500)



Material: Ca12Pt3N5
Method: DFT, PBE
State: relaxed

Output
N(E_F) = 0.409 states/eV/atom
Uncorrected formation energy = -16.5 kcal/mol of atoms

a b c (Å): 13.399 13.399 13.399
angles (deg): 109.47 109.47 109.47
Fractional coordinates of all 80 atoms:
Pt (0.750, 0.375, 0.125)
Pt (0.875, 0.750, 0.125)
Pt (0.375, 0.750, 0.625)
Pt (0.250, 0.125, 0.375)
Pt (0.875, 0.125, 0.250)
Pt (0.375, 0.625, 0.250)
Pt (0.625, 0.375, 0.750)
Pt (0.125, 0.875, 0.750)
Pt (0.750, 0.875, 0.625)
Pt (0.625, 0.250, 0.375)
Pt (0.125, 0.250, 0.875)
Pt (0.250, 0.625, 0.875)
N (0.125, 0.375, 0.250)
N (0.000, 0.500, 0.000)
N (0.000, 0.000, 0.000)
N (0.375, 0.250, 0.125)
N (0.500, 0.000, 0.500)
N (0.500, 0.500, 0.000)
N (0.125, 0.750, 0.375)
N (0.750, 0.125, 0.875)
N (0.750, 0.625, 0.375)
N (0.375, 0.125, 0.750)
N (0.625, 0.875, 0.250)
N (0.500, 0.500, 0.500)
N (0.500, 0.000, 0.000)
N (0.000, 0.000, 0.500)
N (0.250, 0.375, 0.625)
N (0.250, 0.875, 0.125)
N (0.000, 0.500, 0.500)
N (0.875, 0.250, 0.625)
N (0.625, 0.750, 0.875)
N (0.875, 0.625, 0.750)
Ca (0.701, 0.119, 0.020)
Ca (0.319, 0.520, 0.401)
Ca (0.980, 0.381, 0.299)
Ca (0.520, 0.201, 0.119)
Ca (0.582, 0.701, 0.681)
Ca (0.980, 0.599, 0.181)
Ca (0.319, 0.799, 0.418)
Ca (0.099, 0.918, 0.119)
Ca (0.599, 0.980, 0.681)
Ca (0.701, 0.582, 0.181)
Ca (0.799, 0.480, 0.381)
Ca (0.819, 0.901, 0.020)
Ca (0.119, 0.701, 0.520)
Ca (0.381, 0.401, 0.082)
Ca (0.082, 0.901, 0.381)
Ca (0.418, 0.119, 0.599)
Ca (0.082, 0.181, 0.201)
Ca (0.480, 0.681, 0.099)
Ca (0.819, 0.918, 0.299)
Ca (0.119, 0.418, 0.099)
Ca (0.381, 0.980, 0.799)
Ca (0.599, 0.619, 0.418)
Ca (0.901, 0.819, 0.520)
Ca (0.799, 0.319, 0.918)
Ca (0.401, 0.381, 0.582)
Ca (0.099, 0.181, 0.480)
Ca (0.201, 0.681, 0.082)
Ca (0.181, 0.082, 0.701)
Ca (0.619, 0.020, 0.201)
Ca (0.881, 0.582, 0.901)
Ca (0.520, 0.319, 0.901)
Ca (0.582, 0.881, 0.401)
Ca (0.918, 0.819, 0.799)
Ca (0.918, 0.099, 0.619)
Ca (0.881, 0.299, 0.480)
Ca (0.181, 0.099, 0.980)
Ca (0.619, 0.599, 0.918)
Ca (0.401, 0.020, 0.319)
Ca (0.299, 0.418, 0.819)
Ca (0.201, 0.520, 0.619)
Ca (0.901, 0.082, 0.881)
Ca (0.681, 0.201, 0.582)
Ca (0.480, 0.799, 0.881)
Ca (0.020, 0.401, 0.819)
Ca (0.418, 0.299, 0.319)
Ca (0.020, 0.619, 0.701)
Ca (0.681, 0.480, 0.599)
Ca (0.299, 0.881, 0.980)



Material: Cu2SiOs
Method: DFT, PBE
State: relaxed

Output
N(E_F) = 0.615 states/eV/atom
Uncorrected formation energy = 7.7 kcal/mol of atoms

a b c (Å): 2.665 2.665 8.610
angles (deg): 90.00 90.00 119.08
Fractional coordinates of all 4 atoms:
Cu (0.000, 0.000, 0.988)
Cu (0.000, 0.000, 0.512)
Os (0.500, 0.500, 0.250)
Si (0.500, 0.500, 0.750)